Record 1
Below is BeCrTc2 after structural relaxation, with properties calculated at the PBE-GGA level.

extended XYZ file:
```
4
Lattice="-1.6990 1.6990 4.3103 1.6990 -1.6990 4.3103 1.6990 1.6990 -4.3103" Properties=species:S:1:pos:R:3 pbc="T T T"
Be 0.0000 0.0000 0.0000
Cr 1.6990 0.0000 2.1552
Tc 0.0000 0.0000 4.3103
Tc 0.0000 1.6990 2.1552
```

## Properties
Its formation energy is 33.0 meV/atom. The crystal system is tetragonal. As for the space group: I-4m2, No. 119.

=====

Record 2
Below is TbCePb after structural relaxation, with properties calculated at the PBE-GGA level.

extended XYZ file:
```
3
Lattice="-2.0845 2.0845 5.0418 2.0845 -2.0845 5.0418 2.0845 2.0845 -5.0418" Properties=species:S:1:pos:R:3 pbc="T T T"
Tb 0.0000 0.0000 0.0000
Ce 0.0000 0.0000 6.9619
Pb 0.0000 0.0000 3.5264
```

## Properties
Its formation energy is -226.7 meV/atom. The crystal system is tetragonal. As for the space group: I4mm, No. 107.

=====

Record 3
Below is CaTb5N6 after structural relaxation, with properties calculated at the PBE-GGA level.

extended XYZ file:
```
12
Lattice="3.0349 -5.2575 0.0000 3.0349 5.2575 0.0000 -2.0212 0.0000 5.7133" Properties=species:S:1:pos:R:3 pbc="T T T"
Ca 0.0000 0.0000 0.0000
Tb 2.0243 3.5128 2.8566
Tb 3.0349 1.7555 0.0000
Tb 2.0243 0.0000 2.8566
Tb 3.0349 -1.7555 0.0000
Tb 2.0243 -3.5128 2.8566
N 1.0464 1.8115 1.4514
N 0.0688 0.0000 4.2460
N 1.0464 -1.8115 1.4514
N 3.0022 1.8115 4.2619
N 3.9798 0.0000 1.4672
N 3.0022 -1.8115 4.2619
```

## Properties
The value obtained for the raw formation energy is -17.566 eV/f.u. The crystal system is monoclinic. As for the space group: C2/m, No. 12.

=====

Record 4
Below is Mg2Te after structural relaxation, with properties calculated at the PBE-GGA level.

extended XYZ file:
```
3
Lattice="4.2118 0.0000 0.0000 -2.1059 3.6475 0.0000 0.0000 0.0000 6.2910" Properties=species:S:1:pos:R:3 pbc="T T T"
Mg 0.0000 0.0000 1.4335
Mg 0.0000 0.0000 4.8576
Te 0.0000 2.4317 3.1455
```

## Properties
The value obtained for the raw formation energy is -1.032 eV/f.u. The crystal system is hexagonal. As for the space group: P-6m2, No. 187.

=====

Record 5
Below is TaTiF3 after structural relaxation, with properties calculated at the PBE-GGA level.

extended XYZ file:
```
5
Lattice="4.3059 0.0000 0.0000 0.0000 4.3059 0.0000 0.0000 0.0000 4.3059" Properties=species:S:1:pos:R:3 pbc="T T T"
Ta 0.0000 0.0000 0.0000
Ti 2.1530 2.1530 2.1530
F 0.0000 0.0000 2.1530
F 0.0000 2.1530 0.0000
F 2.1530 0.0000 0.0000
```

## Properties
The value obtained for the raw formation energy is -5.269 eV/f.u. The crystal system is cubic. As for the space group: Pm-3m, No. 221.

=====

Record 6
Below is TaIn2Cl after structural relaxation, with properties calculated at the PBE-GGA level.

extended XYZ file:
```
4
Lattice="1.5575 -2.8248 0.0000 1.5575 2.8248 0.0000 0.0000 0.0000 10.9938" Properties=species:S:1:pos:R:3 pbc="T T T"
Ta 0.0000 0.0000 0.0000
In 0.0000 0.0000 5.3290
In 1.5575 0.0000 2.5138
Cl 1.5575 0.0000 9.0615
```

## Properties
The value obtained for the raw formation energy is -0.212 eV/f.u. The crystal system is orthorhombic. As for the space group: Cmm2, No. 35.

=====

Record 7
Below is BaBe2In2 after structural relaxation, with properties calculated at the PBE-GGA level.

extended XYZ file:
```
5
Lattice="-2.2723 2.2723 5.6065 2.2723 -2.2723 5.6065 2.2723 2.2723 -5.6065" Properties=species:S:1:pos:R:3 pbc="T T T"
Ba 0.0000 0.0000 0.0000
Be 2.2723 0.0000 2.8033
Be 0.0000 2.2723 2.8033
In 0.0000 0.0000 4.0334
In 0.0000 0.0000 7.1796
```

## Properties
Its formation energy is 57.3 meV/atom. The crystal system is tetragonal. As for the space group: I4/mmm, No. 139.

=====

Record 8
Below is LaAlSCl2 after structural relaxation, with properties calculated at the PBE-GGA level.

extended XYZ file:
```
5
Lattice="5.5869 0.0000 0.0000 0.0000 5.5869 0.0000 0.0000 0.0000 5.5346" Properties=species:S:1:pos:R:3 pbc="T T T"
La 0.0000 0.0000 0.0000
Al 2.7934 2.7934 2.7673
S 0.0000 0.0000 2.7673
Cl 0.0000 2.7934 0.0000
Cl 2.7934 0.0000 0.0000
```

## Properties
The value obtained for the raw formation energy is -6.208 eV/f.u. The crystal system is tetragonal. As for the space group: P4/mmm, No. 123.

=====

Record 9
Below is Tb3Ce3TmSe8 after structural relaxation, with properties calculated at the PBE-GGA level.

extended XYZ file:
```
15
Lattice="4.1140 2.3752 6.8338 -4.1140 2.3752 6.8338 0.0000 -4.7504 6.8338" Properties=species:S:1:pos:R:3 pbc="T T T"
Tb -2.0570 -1.1876 6.8338
Tb -2.0570 1.1876 13.6675
Tb 0.0000 2.3752 6.8338
Ce -4.1140 0.0000 10.2507
Ce -2.0570 1.1876 3.4169
Ce 2.0570 1.1876 3.4169
Tm 0.0000 0.0000 0.0000
Se 0.0000 -2.3768 8.4726
Se -2.0583 1.1884 8.4726
Se 0.0000 0.0000 5.1929
Se -2.0583 -1.1884 12.0287
Se 2.0583 1.1884 8.4726
Se 0.0000 0.0000 15.3084
Se 2.0583 -1.1884 12.0288
Se 0.0000 2.3767 12.0288
```

## Properties
The value obtained for the raw formation energy is -27.647 eV/f.u. The crystal system is trigonal. As for the space group: R-3m, No. 166.

=====

Record 10
Below is Ac8Co3Au after structural relaxation, with properties calculated at the PBE-GGA level.

extended XYZ file:
```
12
Lattice="7.0935 -4.3742 0.0000 7.0935 4.3742 0.0000 -4.3762 0.0000 7.0788" Properties=species:S:1:pos:R:3 pbc="T T T"
Ac 3.6655 2.3519 5.2590
Ac 0.3134 0.0000 5.0902
Ac 6.1454 2.3519 1.8198
Ac 2.3665 0.0000 1.7987
Ac 7.4444 0.0000 5.2802
Ac 3.6655 -2.3519 5.2590
Ac 9.4975 0.0000 1.9886
Ac 6.1454 -2.3519 1.8198
Co 0.0000 0.0000 0.0000
Co 1.3587 2.1871 3.5394
Co 1.3587 -2.1871 3.5394
Au 7.0935 0.0000 0.0000
```

## Properties
Its formation energy is -147.6 meV/atom. The crystal system is monoclinic. As for the space group: C2/m, No. 12.

=====

Record 11
Below is ZnAg2Te after structural relaxation, with properties calculated at the PBE-GGA level.

extended XYZ file:
```
4
Lattice="3.1441 0.0000 0.0000 0.0000 4.4958 0.0000 -1.5141 0.0000 6.1945" Properties=species:S:1:pos:R:3 pbc="T T T"
Zn 0.0000 0.0000 0.0000
Ag 0.0517 0.0000 3.9128
Ag 1.6228 2.2479 4.7193
Te 0.0424 2.2479 1.7668
```

## Properties
The value obtained for the raw formation energy is 0.210 eV/f.u. The crystal system is monoclinic. As for the space group: Pm, No. 6.

=====

Record 12
Below is Y4BiRh2 after structural relaxation, with properties calculated at the PBE-GGA level.

extended XYZ file:
```
14
Lattice="4.3244 -7.5001 0.0000 4.3244 7.5001 0.0000 -4.2569 0.0000 5.5170" Properties=species:S:1:pos:R:3 pbc="T T T"
Y 2.1959 7.4215 2.7585
Y 0.0409 4.2226 4.6189
Y 3.5820 1.1916 0.8452
Y 3.5901 3.1208 3.9153
Y 1.4536 -1.1916 3.6037
Y 2.1693 -4.2226 1.8604
Y 5.7185 -3.1208 1.1567
Y 4.3244 -7.4215 0.0000
Bi 0.7168 1.7350 2.7825
Bi 2.8452 -1.7350 0.0240
Rh 4.0349 5.0224 1.7442
Rh 1.8785 1.2238 5.4508
Rh 4.0069 -1.2238 2.6923
Rh 1.9065 -5.0224 4.5027
```

## Properties
Its formation energy is -688.9 meV/atom. The crystal system is monoclinic. As for the space group: Cc, No. 9.

=====

Record 13
Below is TaHgSCl2 after structural relaxation, with properties calculated at the PBE-GGA level.

extended XYZ file:
```
5
Lattice="4.9660 0.0000 0.0000 0.0000 4.9660 0.0000 0.0000 0.0000 4.7720" Properties=species:S:1:pos:R:3 pbc="T T T"
Ta 0.0000 0.0000 0.0000
Hg 2.4830 2.4830 2.3860
S 0.0000 0.0000 2.3860
Cl 0.0000 2.4830 0.0000
Cl 2.4830 0.0000 0.0000
```

## Properties
The value obtained for the raw formation energy is -2.752 eV/f.u. The crystal system is tetragonal. As for the space group: P4/mmm, No. 123.

=====

Record 14
Below is Rb2LiTl3Br6 after structural relaxation, with properties calculated at the PBE-GGA level.

extended XYZ file:
```
12
Lattice="4.1055 -7.0752 0.0000 4.1055 7.0752 0.0000 -2.7834 0.0000 7.6459" Properties=species:S:1:pos:R:3 pbc="T T T"
Rb 4.1055 4.7231 0.0000
Rb 4.1055 -4.7231 0.0000
Li 4.1055 0.0000 0.0000
Tl -1.3917 0.0000 3.8229
Tl 2.7138 2.3503 3.8229
Tl 2.7138 -2.3503 3.8229
Br 0.1848 1.9971 5.9536
Br 1.5317 0.0000 1.9655
Br 0.1848 -1.9971 5.9536
Br 5.2428 1.9971 1.6922
Br 3.8959 0.0000 5.6804
Br 5.2428 -1.9971 1.6922
```

## Properties
The value obtained for the raw formation energy is -14.799 eV/f.u. The crystal system is monoclinic. As for the space group: C2/m, No. 12.

=====

Record 15
Below is MgHIr3 after structural relaxation, with properties calculated at the PBE-GGA level.

extended XYZ file:
```
5
Lattice="2.7977 0.0000 0.0000 0.0000 2.8586 3.8968 0.0000 -2.8586 3.8968" Properties=species:S:1:pos:R:3 pbc="T T T"
Mg 0.0000 0.0000 0.0000
H 1.3989 0.0000 1.2610
Ir 0.0000 0.0000 3.8626
Ir 1.3989 -1.3149 5.8981
Ir 1.3989 1.3149 5.8981
```

## Properties
The crystal system is orthorhombic. As for the space group: Amm2, No. 38. Its total energy is -32.0 eV/f.u.

=====

Record 16
Below is La3Ho3Tm2 after structural relaxation, with properties calculated at the PBE-GGA level.

extended XYZ file:
```
8
Lattice="-2.5131 2.5666 10.2535 2.5131 -2.5666 10.2535 2.5131 2.5666 -10.2535" Properties=species:S:1:pos:R:3 pbc="T T T"
La 0.0000 0.0000 0.0000
La 2.5131 0.0000 7.6788
La 0.0000 2.5666 2.5748
Ho 2.5131 0.0000 2.6348
Ho 0.0000 0.0000 10.2535
Ho 0.0000 2.5666 7.6187
Tm 0.0000 0.0000 5.1010
Tm 0.0000 0.0000 15.4061
```

## Properties
Its formation energy is 36.8 meV/atom. The crystal system is orthorhombic. As for the space group: Immm, No. 71.

=====

Record 17
Below is La6PPd2I3 after structural relaxation, with properties calculated at the PBE-GGA level.

extended XYZ file:
```
12
Lattice="3.7658 -6.5173 0.0000 3.7658 6.5173 0.0000 -2.5003 0.0000 7.8799" Properties=species:S:1:pos:R:3 pbc="T T T"
La 1.2540 2.1525 1.5698
La -0.0109 0.0000 6.3051
La 1.2540 -2.1525 1.5698
La 3.7775 2.1525 6.3102
La 5.0423 0.0000 1.5748
La 3.7775 -2.1525 6.3102
P 0.0000 0.0000 0.0000
Pd 3.7658 2.1758 0.0000
Pd 3.7658 -2.1758 0.0000
I 2.5157 4.3658 3.9400
I 2.5157 0.0000 3.9400
I 2.5157 -4.3658 3.9400
```

## Properties
The value obtained for the raw formation energy is -12.883 eV/f.u. The crystal system is monoclinic. As for the space group: C2/m, No. 12.

=====

Record 18
Below is PuTi2Ru3 after structural relaxation, with properties calculated at the PBE-GGA level.

extended XYZ file:
```
6
Lattice="3.1009 0.0000 0.0000 0.0000 3.1009 0.0000 0.0000 0.0000 10.0441" Properties=species:S:1:pos:R:3 pbc="T T T"
Pu 0.0000 0.0000 0.0000
Ti 0.0000 0.0000 3.4634
Ti 0.0000 0.0000 6.5808
Ru 1.5504 1.5504 1.9977
Ru 1.5504 1.5504 5.0221
Ru 1.5504 1.5504 8.0464
```

## Properties
Its formation energy is -489.2 meV/atom. The crystal system is tetragonal. As for the space group: P4/mmm, No. 123.

=====

Record 19
Below is Th2ZrHg after structural relaxation, with properties calculated at the PBE-GGA level.

extended XYZ file:
```
4
Lattice="3.3978 0.0000 0.0000 0.0000 3.3978 0.0000 0.0000 0.0000 9.7301" Properties=species:S:1:pos:R:3 pbc="T T T"
Th 0.0000 0.0000 2.4201
Th 0.0000 0.0000 7.3100
Zr 1.6989 1.6989 0.0000
Hg 1.6989 1.6989 4.8651
```

## Properties
Its formation energy is -30.5 meV/atom. The crystal system is tetragonal. As for the space group: P4/mmm, No. 123.

=====

Record 20
Below is AcAg4Pd after structural relaxation, with properties calculated at the PBE-GGA level.

extended XYZ file:
```
6
Lattice="0.0000 3.9866 3.9866 3.9866 0.0000 3.9866 3.9866 3.9866 0.0000" Properties=species:S:1:pos:R:3 pbc="T T T"
Ac 0.0000 0.0000 0.0000
Ag 2.9974 2.9974 2.9974
Ag 4.9758 4.9758 2.9974
Ag 4.9758 2.9974 4.9758
Ag 2.9974 4.9758 4.9758
Pd 5.9799 5.9799 5.9799
```

## Properties
Its formation energy is -218.5 meV/atom. The crystal system is cubic. As for the space group: F-43m, No. 216.

=====

Record 21
Below is InNi after structural relaxation, with properties calculated at the PBE-GGA level.

extended XYZ file:
```
6
Lattice="2.9543 0.0000 0.0000 0.0000 5.6701 3.1177 0.0000 -5.6701 3.1177" Properties=species:S:1:pos:R:3 pbc="T T T"
In 0.0000 0.0000 0.0000
In 1.4771 -2.6451 2.0770
In 1.4771 2.6451 2.0770
Ni 0.0000 -1.2569 3.8485
Ni 0.0000 1.2569 3.8485
Ni 1.4771 0.0000 2.2509
```

## Properties
Its formation energy is 9.4 meV/atom. The crystal system is orthorhombic. As for the space group: Amm2, No. 38.

=====

Record 22
Below is Rb3Cd2Sn4 after structural relaxation, with properties calculated at the PBE-GGA level.

extended XYZ file:
```
9
Lattice="7.1972 -2.4491 0.0000 7.1972 2.4491 0.0000 -0.4779 0.0000 10.3205" Properties=species:S:1:pos:R:3 pbc="T T T"
Rb 0.0000 0.0000 0.0000
Rb 4.6422 0.0000 3.4157
Rb 9.2743 0.0000 6.9048
Cd 5.2800 0.0000 7.4060
Cd 8.6365 0.0000 2.9145
Sn 0.6399 0.0000 4.0778
Sn 3.6141 0.0000 9.7349
Sn 10.3025 0.0000 0.5856
Sn 13.2766 0.0000 6.2428
```

## Properties
Its formation energy is -164.3 meV/atom. The crystal system is monoclinic. As for the space group: C2/m, No. 12.

=====

Record 23
Below is KAsF6 after structural relaxation, with properties calculated at the PBE-GGA level.

extended XYZ file:
```
8
Lattice="3.8854 -3.9250 0.0000 3.8854 3.9250 0.0000 -2.9112 0.0000 4.2444" Properties=species:S:1:pos:R:3 pbc="T T T"
K 0.0000 0.0000 0.0000
As 3.8854 0.0000 0.0000
F -0.1343 0.0000 2.8482
F 2.9018 1.2577 0.7678
F 1.9577 1.2577 3.4765
F 2.9018 -1.2577 0.7678
F 1.9577 -1.2577 3.4765
F 4.9938 0.0000 1.3961
```

## Properties
The value obtained for the raw formation energy is -19.359 eV/f.u. The crystal system is monoclinic. As for the space group: C2/m, No. 12.

=====

Record 24
Below is Li2ScPt after structural relaxation, with properties calculated at the PBE-GGA level.

extended XYZ file:
```
8
Lattice="-1.8923 1.8923 10.0335 1.8923 -1.8923 10.0335 1.8923 1.8923 -10.0335" Properties=species:S:1:pos:R:3 pbc="T T T"
Li 0.9461 0.7758 -2.5084
Li 1.1165 -0.9461 12.5419
Li 0.9461 1.1165 7.5251
Li 0.7758 2.8384 2.5084
Sc 1.8923 0.0000 5.0167
Sc 0.0000 0.0000 10.0335
Pt 0.0000 0.0000 0.0000
Pt 0.0000 1.8923 5.0167
```

## Properties
Its formation energy is -431.7 meV/atom. The crystal system is tetragonal. As for the space group: I-42d, No. 122.

=====

Record 25
Below is AcPr2Y after structural relaxation, with properties calculated at the PBE-GGA level.

extended XYZ file:
```
4
Lattice="1.8833 1.0873 12.1624 -1.8833 1.0873 12.1624 0.0000 -2.1747 12.1624" Properties=species:S:1:pos:R:3 pbc="T T T"
Ac 0.0000 0.0000 0.0000
Pr 0.0000 0.0000 9.0013
Pr 0.0000 0.0000 27.4860
Y 0.0000 0.0000 18.2436
```

## Properties
Its formation energy is 36.7 meV/atom. The crystal system is trigonal. As for the space group: R-3m, No. 166.